Entry 1:
Compound: K2CdF3
Source: Alexandria
Functional: PBE
Structure: optimized geometry

```
K2CdF3
1.0
5.583 0.000 0.000
0.000 7.207 0.004
-2.791 -1.801 5.821
F Cd K
6 2 4
Direct
0.837 0.918 0.674
0.567 0.750 0.000
0.163 0.582 0.326
0.433 0.250 0.000
0.163 0.082 0.326
0.837 0.418 0.674
0.012 0.250 0.000
0.988 0.750 0.000
0.336 0.418 0.671
0.664 0.582 0.329
0.335 0.918 0.671
0.665 0.082 0.329
```

ρ: 3.5 Mg/m³
symmetry: No. 15
volume: 234 Å³/cell

Entry 2:
Compound: K2CdF5
Source: Alexandria
Functional: PBE
Structure: optimized geometry

```
K2CdF5
1.0
6.632 0.000 0.000
0.000 7.475 0.000
0.000 0.000 10.704
F K Cd
20 8 4
Direct
0.319 0.534 0.559
0.611 0.750 0.979
0.389 0.250 0.021
0.889 0.750 0.479
0.868 0.750 0.191
0.632 0.750 0.691
0.391 0.750 0.317
0.609 0.250 0.683
0.891 0.250 0.183
0.681 0.034 0.441
0.819 0.466 0.941
0.132 0.250 0.809
0.111 0.250 0.521
0.181 0.966 0.059
0.181 0.534 0.059
0.368 0.250 0.309
0.109 0.750 0.817
0.819 0.034 0.941
0.681 0.466 0.441
0.319 0.966 0.559
0.433 0.504 0.831
0.933 0.004 0.669
0.067 0.504 0.331
0.933 0.496 0.669
0.567 0.004 0.169
0.567 0.496 0.169
0.433 0.996 0.831
0.067 0.996 0.331
0.461 0.250 0.503
0.961 0.750 0.997
0.039 0.250 0.003
0.539 0.750 0.497
```

ρ: 3.6 Mg/m³
symmetry: No. 62
energy above the most stable polymorph in this dataset: 0.0000 eV/atom
volume: 531 Å³/cell

Entry 3:
Compound: K6CdF8
Source: Alexandria
Functional: PBE
Structure: optimized geometry

```
K6CdF8
1.0
6.566 0.213 2.284
1.691 6.348 2.284
0.268 0.213 6.946
Cd F K
1 8 6
Direct
0.000 0.000 0.000
0.905 0.162 0.684
0.339 0.339 0.339
0.684 0.905 0.162
0.095 0.838 0.316
0.661 0.661 0.661
0.162 0.684 0.905
0.316 0.095 0.838
0.838 0.316 0.095
0.697 0.062 0.492
0.303 0.938 0.508
0.938 0.508 0.303
0.062 0.492 0.697
0.492 0.697 0.062
0.508 0.303 0.938
```

ρ: 2.9 Mg/m³
symmetry: No. 148
volume: 281 Å³/cell

Entry 4:
Compound: KCd4F8
Source: Alexandria
Functional: PBE
Structure: optimized geometry

```
KCd4F8
1.0
7.163 0.000 0.000
3.582 6.204 0.000
3.582 2.068 5.849
F K Cd
8 1 4
Direct
0.189 0.604 0.604
0.146 0.562 0.146
0.562 0.146 0.146
0.604 0.604 0.189
0.604 0.189 0.604
0.146 0.146 0.146
0.604 0.604 0.604
0.146 0.146 0.562
0.750 0.750 0.750
0.373 0.880 0.373
0.373 0.373 0.880
0.373 0.373 0.373
0.880 0.373 0.373
```

ρ: 4.1 Mg/m³
symmetry: No. 216
energy above the most stable polymorph in this dataset: 0.0000 eV/atom
volume: 260 Å³/cell

For reference, total magnetization by record: 0.0; 4.1; 0.3; 0.0 μB/cell.
For reference, uncorrected formation energy by record: -13.25; -17.81; -38.96; -27.59 eV per formula unit.
For reference, density of states at the Fermi level by record: 2.47; 20.46; 0.00; 2.38 states/eV per cell.